Entry 1:
The following is a GGA-PBE calculation of Tl2TcRh after structural relaxation, from the Alexandria database.

POSCAR file:
```
Tl2TcRh
1.0
3.302 0.000 0.000
0.000 3.302 0.000
0.000 0.000 6.757
Tl Tc Rh
2 1 1
Direct
0.000 0.000 0.245
0.000 0.000 0.755
0.500 0.500 0.500
0.500 0.500 0.000
```

Calculated values
energy above the most stable polymorph in this dataset: 192.4 meV/atom
E_form: 506 meV/atom
raw total energy: -20.426 eV/f.u.

Entry 2:
The following is a GGA-PBE calculation of Pm2AlPt6Au after structural relaxation, from the Alexandria database.

POSCAR file:
```
Pm2AlPt6Au
1.0
2.766 1.597 8.213
-2.766 1.597 8.213
0.000 -3.194 8.213
Pm Al Pt Au
2 1 6 1
Direct
0.206 0.206 0.206
0.794 0.794 0.794
0.000 0.000 0.000
0.245 0.245 0.741
0.245 0.741 0.245
0.259 0.755 0.755
0.741 0.245 0.245
0.755 0.259 0.755
0.755 0.755 0.259
0.500 0.500 0.500
```

Calculated values
E_form: -714 meV/atom
raw total energy: -59.905 eV/f.u.

Number 1: V 74 Å³/cell. Number 2: V 218 Å³/cell.